The following is a PBE-GGA calculation of a relaxed CaFeNi crystal, from Alexandria.

Computed properties:
For the size of the total moment, the calculation gives 2.428 Bohr magnetons per cell. For the uncorrected energy, the calculation gives -5.2498 eV per atom.

Cell lengths 3.9005, 3.9005, 4.3544 Å; angles 90.00, 90.00, 120.00 degrees
With the nearest neighbours (Å) after each atom.
Sites, in units of the cell vectors:
Ni  0.3333  0.6667  0.4997  3 Fe 2.25
Fe  0.6667  0.3333  0.5001  3 Ni 2.25
Ca  0.0000  0.0000  0.0002  6 Ni 3.13, 6 Fe 3.13

The following is a PBE-GGA calculation of a relaxed Sr2BTeRh crystal, from Alexandria.

Computed properties:
For the size of the total moment, the calculation gives 0.000 Bohr magnetons per cell. For the uncorrected energy, the calculation gives -4.6566 eV per atom.

Cell lengths 5.7024, 4.0042, 5.7024 Å; angles 90.00, 90.00, 90.00 degrees
With the nearest neighbours (Å) after each atom.
Sites, in units of the cell vectors:
Te  0.5000  0.5000  0.5000  8 Sr 3.48
Sr  0.0000  0.0000  0.5000  2 B 2.85
Rh  0.0000  0.5000  0.0000  2 B 2.00
B  0.0000  0.0000  0.0000  2 Rh 2.00
Sr  0.5000  0.0000  0.0000  2 B 2.85

The following is a PBE-GGA calculation of a relaxed TiF3 crystal, from Alexandria.

Computed properties:
For the size of the total moment, the calculation gives 2.000 Bohr magnetons per cell. For the uncorrected energy, the calculation gives -5.8647 eV per atom.

Cell lengths 3.8272, 3.8272, 7.0949 Å; angles 74.35, 74.35, 90.00 degrees
With the nearest neighbours (Å) after each atom.
Sites, in units of the cell vectors:
F  0.7267  0.1250  0.2500  2 Ti 1.98
F  0.2500  0.7500  0.5000  4 F 2.33
F  0.5000  0.5000  0.0000  4 F 2.33
F  0.3750  0.2733  0.7500  2 Ti 1.98
F  0.8750  0.9767  0.7500  2 Ti 1.98
Ti  0.0000  0.0000  0.0000  4 F 1.98
Ti  0.7500  0.2500  0.5000  4 F 1.98
F  0.0233  0.6250  0.2500  2 Ti 1.98

The following is a PBE-GGA calculation of a relaxed Ba2AlZnCd6 crystal, from Alexandria.

Computed properties:
For the size of the total moment, the calculation gives 0.000 Bohr magnetons per cell. For the uncorrected energy, the calculation gives -1.5958 eV per atom.

Cell lengths 7.5589, 7.2049, 7.5758 Å; angles 61.34, 57.43, 90.06 degrees
With the nearest neighbours (Å) after each atom.
Sites, in units of the cell vectors:
Cd  0.7471  0.8383  0.9078  1 Zn 2.62, 1 Al 2.78
Cd  0.7543  0.2613  0.9004  1 Zn 2.63, 1 Al 2.78
Ba  0.2923  0.7089  0.5827  12 Cd 3.76-3.94, 1 Zn 3.94
Al  0.0000  0.0000  0.0000  6 Cd 2.78
Cd  0.2457  0.7387  0.0996  1 Zn 2.63, 1 Al 2.78
Cd  0.8352  0.7489  0.5067  1 Zn 2.64, 1 Al 2.78
Cd  0.2529  0.1617  0.0922  1 Zn 2.62, 1 Al 2.78
Ba  0.7077  0.2911  0.4173  12 Cd 3.76-3.94, 1 Zn 3.94
Cd  0.1648  0.2511  0.4933  1 Zn 2.64, 1 Al 2.78
Zn  0.5000  0.5000  0.0000  6 Cd 2.62-2.64

The following is a PBE-GGA calculation of a relaxed Ba2SrPt2 crystal, from Alexandria.

Computed properties:
For the size of the total moment, the calculation gives 0.000 Bohr magnetons per cell. For the uncorrected energy, the calculation gives -4.1846 eV per atom.

Cell lengths 4.3043, 7.6222, 6.4476 Å; angles 63.20, 70.50, 73.60 degrees
With the nearest neighbours (Å) after each atom.
Sites, in units of the cell vectors:
Pt  0.0352  0.1640  0.2656  1 Pt 2.91, 2 Ba 3.16, 2 Sr 3.19
Sr  0.5000  0.5000  0.0000  4 Pt 3.19
Ba  0.6807  0.8361  0.3025  5 Pt 3.16-3.45
Pt  0.9648  0.8360  0.7344  1 Pt 2.91, 2 Ba 3.16, 2 Sr 3.19
Ba  0.3193  0.1639  0.6975  5 Pt 3.16-3.45

The following is a PBE-GGA calculation of a relaxed HfTi7Sn4 crystal, from Alexandria.

Computed properties:
For the size of the total moment, the calculation gives 3.071 Bohr magnetons per cell. For the uncorrected energy, the calculation gives -6.7326 eV per atom.

Cell lengths 4.9795, 9.5021, 5.8515 Å; angles 83.10, 64.82, 74.81 degrees
With the nearest neighbours (Å) after each atom.
Sites, in units of the cell vectors:
Hf  0.0000  0.0000  0.0000  2 Ti 2.49
Ti  0.0359  0.6228  0.3054  5 Ti 2.89-3.04, 4 Sn 2.94-3.06
Sn  0.7216  0.6850  0.8718  7 Ti 2.80-3.06, 1 Sn 3.05
Sn  0.2784  0.3150  0.1282  7 Ti 2.80-3.06, 1 Sn 3.05
Ti  0.9641  0.3772  0.6946  5 Ti 2.89-3.04, 4 Sn 2.94-3.06
Sn  0.6010  0.2210  0.5770  8 Ti 2.82-3.02, 1 Sn 3.05
Ti  0.5000  0.0000  0.0000  2 Hf 2.49, 2 Ti 2.68
Ti  0.6440  0.4670  0.2451  4 Ti 2.77-3.04, 5 Sn 2.80-3.02
Sn  0.3990  0.7790  0.4230  8 Ti 2.82-3.02, 1 Sn 3.05
Ti  0.7840  0.9159  0.5160  4 Ti 2.68-2.93, 4 Sn 2.82-2.83, 1 Hf 2.83
Ti  0.3560  0.5330  0.7549  4 Ti 2.77-3.04, 5 Sn 2.80-3.02
Ti  0.2160  0.0841  0.4840  4 Ti 2.68-2.93, 4 Sn 2.82-2.83, 1 Hf 2.83

The following is a PBE-GGA calculation of a relaxed CsCdGaAs2 crystal, from Alexandria.

Computed properties:
For the size of the total moment, the calculation gives 0.000 Bohr magnetons per cell. For the uncorrected energy, the calculation gives -3.0989 eV per atom.

Cell lengths 6.1697, 8.3778, 6.8051 Å; angles 113.84, 90.00, 90.00 degrees
With the nearest neighbours (Å) after each atom.
Sites, in units of the cell vectors:
Ga  0.0000  0.0000  0.5000  2 As 2.32
Cs  0.2467  0.5000  0.7500  8 As 3.73-4.04, 2 Ga 4.12
As  0.7395  0.2179  0.6084  1 Ga 2.32
As  0.2605  0.7821  0.3916  1 Ga 2.32
Ga  0.0000  0.0000  0.0000  2 As 2.32
Cd  0.5000  0.0000  0.7500  4 As 2.80
Cs  0.7533  0.5000  0.2500  8 As 3.73-4.04, 2 Ga 4.12
As  0.2605  0.2179  0.1084  1 Ga 2.32
As  0.7395  0.7821  0.8916  1 Ga 2.32
Cd  0.5000  0.0000  0.2500  4 As 2.80

The following is a PBE-GGA calculation of a relaxed MgAg2 crystal, from Alexandria.

Computed properties:
For the size of the total moment, the calculation gives 0.000 Bohr magnetons per cell. For the uncorrected energy, the calculation gives -2.5961 eV per atom.

Cell lengths 4.1035, 4.1035, 13.2954 Å; angles 98.88, 98.88, 90.00 degrees
With the nearest neighbours (Å) after each atom.
Sites, in units of the cell vectors:
Ag  0.5846  0.5846  0.1691  6 Mg 2.90-3.03, 6 Ag 2.94-3.01
Mg  0.0793  0.0793  0.1587  10 Ag 2.90-3.03, 2 Mg 3.13
Mg  0.3293  0.8293  0.6587  10 Ag 2.90-3.03, 2 Mg 3.13
Ag  0.0003  0.5003  0.0007  4 Mg 2.90-2.91, 8 Ag 2.90-3.01
Ag  0.7503  0.7503  0.5007  4 Mg 2.90-2.91, 8 Ag 2.90-3.01
Mg  0.9207  0.9207  0.8413  10 Ag 2.90-3.03, 2 Mg 3.13
Ag  0.2497  0.2497  0.4993  4 Mg 2.90-2.91, 8 Ag 2.90-3.01
Ag  0.6654  0.1654  0.3309  6 Mg 2.90-3.03, 6 Ag 2.94-3.01
Ag  0.8346  0.3346  0.6691  6 Mg 2.90-3.03, 6 Ag 2.94-3.01
Ag  0.4997  0.9997  0.9993  4 Mg 2.90-2.91, 8 Ag 2.90-3.01
Mg  0.1707  0.6707  0.3413  10 Ag 2.90-3.03, 2 Mg 3.13
Ag  0.4154  0.4154  0.8309  6 Mg 2.90-3.03, 6 Ag 2.94-3.01

The following is a PBE-GGA calculation of a relaxed SbMoRh2 crystal, from Alexandria.

Computed properties:
For the size of the total moment, the calculation gives 0.398 Bohr magnetons per cell. For the uncorrected energy, the calculation gives -7.4830 eV per atom.

Cell lengths 4.8395, 4.8395, 4.8395 Å; angles 130.47, 130.47, 72.66 degrees
With the nearest neighbours (Å) after each atom.
Sites, in units of the cell vectors:
Rh  0.2500  0.7500  0.5000  4 Sb 2.81, 4 Rh 2.81, 4 Mo 2.87
Mo  0.7500  0.2500  0.5000  4 Sb 2.81, 8 Rh 2.81-2.87
Sb  0.5000  0.5000  0.0000  4 Mo 2.81, 8 Rh 2.81-2.87
Rh  0.0000  0.0000  0.0000  4 Mo 2.81, 4 Rh 2.81, 4 Sb 2.87

The following is a PBE-GGA calculation of a relaxed CdIn3Hg crystal, from Alexandria.

Computed properties:
For the size of the total moment, the calculation gives 0.000 Bohr magnetons per cell. For the uncorrected energy, the calculation gives -1.8654 eV per atom.

Cell lengths 3.4648, 3.4648, 25.1858 Å; angles 90.00, 90.00, 120.00 degrees
With the nearest neighbours (Å) after each atom.
Sites, in units of the cell vectors:
In  0.6667  0.3333  0.6253  3 Cd 3.20, 3 Hg 3.21, 6 In 3.46
In  0.0000  0.0000  0.3224  3 Cd 3.18, 9 In 3.31-3.46
Cd  0.3333  0.6667  0.7244  6 In 3.18-3.20, 6 Cd 3.46
In  0.3333  0.6667  0.1253  3 Cd 3.20, 3 Hg 3.21, 6 In 3.46
Hg  0.0000  0.0000  0.5258  6 In 3.19-3.21, 6 Hg 3.46
In  0.0000  0.0000  0.8224  3 Cd 3.18, 9 In 3.31-3.46
In  0.6667  0.3333  0.9271  3 Hg 3.19, 9 In 3.31-3.46
In  0.3333  0.6667  0.4271  3 Hg 3.19, 9 In 3.31-3.46
Cd  0.6667  0.3333  0.2244  6 In 3.18-3.20, 6 Cd 3.46
Hg  0.0000  0.0000  0.0258  6 In 3.19-3.21, 6 Hg 3.46

The following is a PBE-GGA calculation of a relaxed Ce3PmSm4P8 crystal, from Alexandria.

Computed properties:
For the size of the total moment, the calculation gives 1.403 Bohr magnetons per cell. For the uncorrected energy, the calculation gives -6.8465 eV per atom.

Cell lengths 8.2024, 8.1995, 8.2028 Å; angles 120.02, 120.00, 90.00 degrees
With the nearest neighbours (Å) after each atom.
Sites, in units of the cell vectors:
Ce  0.5000  0.5000  0.5000  6 P 2.88-2.89
Sm  0.0000  0.0000  0.5000  6 P 2.91-2.92
Sm  0.5000  0.0000  0.5000  6 P 2.91-2.92
P  0.2505  0.7472  0.5010  2 Ce 2.88, 3 Sm 2.89-2.92, 1 Pm 2.91
Pm  0.0000  0.5000  0.0000  6 P 2.91
P  0.7462  0.7472  0.9967  2 Ce 2.88, 3 Sm 2.89-2.92, 1 Pm 2.91
Sm  0.0000  0.0000  0.0000  6 P 2.91-2.92
Ce  0.0000  0.5000  0.5000  6 P 2.88-2.89
Sm  0.5000  0.0000  0.0000  6 P 2.89
Ce  0.5000  0.5000  0.0000  6 P 2.88-2.89
P  0.7495  0.2528  0.4990  2 Ce 2.88, 3 Sm 2.89-2.92, 1 Pm 2.91
P  0.2538  0.2528  0.0033  2 Ce 2.88, 3 Sm 2.89-2.92, 1 Pm 2.91
P  0.2505  0.7472  0.9967  2 Ce 2.88, 3 Sm 2.89-2.92, 1 Pm 2.91
P  0.2511  0.2534  0.5022  3 Ce 2.89, 3 Sm 2.91
P  0.7489  0.7466  0.4978  3 Ce 2.89, 3 Sm 2.91
P  0.7495  0.2528  0.0033  2 Ce 2.88, 3 Sm 2.89-2.92, 1 Pm 2.91

The following is a PBE-GGA calculation of a relaxed HgPtS2 crystal, from Alexandria.

Computed properties:
For the size of the total moment, the calculation gives 0.000 Bohr magnetons per cell. For the uncorrected energy, the calculation gives -3.9101 eV per atom.

Cell lengths 5.9122, 7.0549, 6.8606 Å; angles 104.22, 115.52, 55.23 degrees
With the nearest neighbours (Å) after each atom.
Sites, in units of the cell vectors:
Hg  0.3651  0.2500  0.7303  2 S 2.42
Pt  0.0008  0.7500  0.0015  4 S 2.35-2.36
Pt  0.9992  0.2500  0.9985  4 S 2.35-2.36
S  0.1290  0.0006  0.2518  2 Pt 2.35-2.36, 1 Hg 2.42
S  0.8771  0.5007  0.7482  2 Pt 2.35-2.36, 1 Hg 2.42
S  0.8710  0.9994  0.7482  2 Pt 2.35-2.36, 1 Hg 2.42
S  0.1229  0.4993  0.2518  2 Pt 2.35-2.36, 1 Hg 2.42
Hg  0.6349  0.7500  0.2697  2 S 2.42